No. 1
11
Lattice="4.559 -1.007 -0.764 -1.289 6.897 0.712 -1.289 2.542 6.450" Properties=species:S:1:pos:R:3 comment="Ni2Pd8W, optimized geometry, DFT PBE-GGA" total_energy_ev_per_atom=-5.72 delta_e_f_kj_per_mol_atoms=27.8 vol_a3_per_atom=16.62 pbc="T T T"
Pd 2.201 2.087 3.391
Pd -0.220 6.345 3.007
Pd 2.804 0.550 0.417
Pd 2.120 4.847 3.678
Pd -0.140 3.585 2.720
Pd -0.823 7.882 5.980
Pd 2.201 3.827 1.096
Pd -0.220 4.605 5.301
Ni 0.726 1.791 1.359
Ni 1.255 6.641 5.039
W 0.000 0.000 0.000

***

No. 2
4
Lattice="-2.092 -2.205 -3.555 2.545 -2.508 -3.019 -0.304 -4.668 -0.003" Properties=species:S:1:pos:R:3 comment="UPd2Pt, optimized geometry, DFT PBE-GGA" total_energy_ev_per_atom=-7.36 delta_e_f_kj_per_mol_atoms=-41.5 vol_a3_per_atom=18.09 pbc="T T T"
Pd 0.111 -7.036 -4.933
Pd 0.037 -2.345 -1.644
Pt 0.074 -4.691 -3.288
U 0.000 0.000 0.000